(1)
# LiMn2Zn GGA-PBE relaxed
data_LiMn2Zn
_symmetry_space_group_name_H-M 'C m m m'
_symmetry_Int_Tables_number 65
_symmetry_space_group_name_Hall '-C 2 2'
_cell_length_a 5.463
_cell_length_b 7.526
_cell_length_c 2.748
_cell_angle_alpha 90.00
_cell_angle_beta 90.00
_cell_angle_gamma 90.00
loop_
_atom_site_label
_atom_site_type_symbol
_atom_site_fract_x
_atom_site_fract_y
_atom_site_fract_z
_atom_site_occupancy
Li1 Li 0.000 0.000 0.000 1
Mn1 Mn 0.250 0.250 0.500 1
Zn1 Zn 0.000 0.500 0.000 1
# Calculated density in g/cm3: 5.4

---

(2)
# LiMnZn2 GGA-PBE relaxed
data_LiMnZn2
_symmetry_space_group_name_H-M 'R -3 m'
_symmetry_Int_Tables_number 166
_symmetry_space_group_name_Hall '-R 3 2"'
_cell_length_a 2.7498
_cell_length_b 2.7498
_cell_length_c 26.7805
_cell_angle_alpha 90.00
_cell_angle_beta 90.00
_cell_angle_gamma 120.00
loop_
_atom_site_label
_atom_site_type_symbol
_atom_site_fract_x
_atom_site_fract_y
_atom_site_fract_z
_atom_site_occupancy
Li1 Li 0.0000 0.0000 0.0000 1
Mn1 Mn 0.0000 0.0000 0.5000 1
Zn1 Zn 0.0000 0.0000 0.2480 1
# Calculated density in g/cm3: 5.5

---

(3)
# LiMnZn2 GGA-PBE relaxed
data_LiMnZn2
_symmetry_space_group_name_H-M 'P m m 2'
_symmetry_Int_Tables_number 25
_symmetry_space_group_name_Hall 'P 2 -2'
_cell_length_a 2.633
_cell_length_b 4.079
_cell_length_c 5.333
_cell_angle_alpha 90.00
_cell_angle_beta 90.00
_cell_angle_gamma 90.00
loop_
_atom_site_label
_atom_site_type_symbol
_atom_site_fract_x
_atom_site_fract_y
_atom_site_fract_z
_atom_site_occupancy
Li1 Li 0.000 0.000 0.000 1
Mn1 Mn 0.500 0.500 0.273 1
Zn1 Zn 0.000 0.000 0.493 1
Zn2 Zn 0.500 0.500 0.768 1
# Calculated density in g/cm3: 5.6

---

Taking the records one at a time from the top gives magnetization values of 1.72; 0.81; 0.83 μB per atom.
Taking the records one at a time from the top gives DFT formation energy values of 0.259; 0.018; 0.049 eV/atom.